Record 1
Co2SbAs: optimized geometry, GGA-PBE.

The structure in POSCAR format:
```
Co2SbAs
1.0
-3.164 2.476 -1.989
-0.154 0.269 -4.473
-3.323 -1.996 -2.252
As Co Sb
1 2 1
Direct
0.500 0.500 0.500
0.000 0.000 0.000
0.250 0.250 0.250
0.750 0.750 0.750
```

Record 2
Co2SbAs: optimized geometry, GGA-PBE.

The structure in POSCAR format:
```
Co2SbAs
1.0
3.031 0.000 0.000
0.000 3.031 0.000
0.000 0.000 6.532
As Co Sb
1 2 1
Direct
0.500 0.500 0.750
0.000 0.000 0.952
0.000 0.000 0.548
0.500 0.500 0.250
```

Record 3
Co2SbAs: optimized geometry, GGA-PBE.

The structure in POSCAR format:
```
Co2SbAs
1.0
6.332 0.000 -0.002
4.660 4.287 0.002
-5.638 -1.778 2.267
As Co Sb
1 2 1
Direct
0.207 0.707 0.500
0.071 0.071 0.000
0.767 0.267 0.500
0.455 0.455 0.000
```

Record 4
Co2SbAs: optimized geometry, GGA-PBE.

The structure in POSCAR format:
```
Co2SbAs
1.0
4.568 0.000 0.000
0.000 3.545 0.118
0.000 1.628 4.356
As Co Sb
1 2 1
Direct
0.500 0.014 0.846
0.000 0.917 0.041
0.500 0.350 0.176
0.000 0.219 0.437
```

Number 1: E_form (uncorrected) 0.604 eV per atom, uncorrected energy -20.57 eV per cell. Number 2: E_form (uncorrected) 0.188 eV per atom, uncorrected energy -22.23 eV per cell. Number 3: E_form (uncorrected) 0.018 eV per atom, uncorrected energy -22.91 eV per cell. Number 4: E_form (uncorrected) 0.078 eV per atom, uncorrected energy -22.67 eV per cell.